The following is a DFT calculation (PBE) of a relaxed structure of SrZrBe2W.

Unit cell a=4.820 b=4.820 c=4.885 alpha=90.00 beta=90.00 gamma=90.00
Atoms (fractional coordinates):
Sr 0.000 0.000 0.000
Zr 0.500 0.500 0.000
Be 0.000 0.500 0.500
Be 0.500 0.000 0.500
W 0.500 0.500 0.500

The density of states at the Fermi level is 0.7634 states/eV/atom. Its energy is -5.3085 eV/atom. Its magnetic moment is 0.00 Bohr magnetons per cell.